An optimized crystal structure of YTmO3, computed with PBE-GGA.

Results
The value obtained for the formation energy without anion corrections is -3.538 eV/atom. The calculation puts the density at 6.8 g/cm³. The density of states at the Fermi level comes out at 0.000 states/eV/atom.

a = 6.379 Å, b = 6.379 Å, c = 12.694 Å
α = 90.00°, β = 90.00°, γ = 120.00°
Atoms (fractional coordinates):
Y 0.000 0.000 0.000
Y 0.000 0.000 0.500
Y 0.333 0.667 0.467
Y 0.333 0.667 0.967
Y 0.667 0.333 0.467
Y 0.667 0.333 0.967
Tm 0.000 0.333 0.231
Tm 0.000 0.667 0.731
Tm 0.333 0.000 0.231
Tm 0.333 0.333 0.731
Tm 0.667 0.000 0.731
Tm 0.667 0.667 0.231
O 0.000 0.000 0.200
O 0.000 0.000 0.700
O 0.000 0.307 0.403
O 0.000 0.361 0.060
O 0.000 0.639 0.560
O 0.000 0.693 0.903
O 0.307 0.000 0.403
O 0.307 0.307 0.903
O 0.333 0.667 0.255
O 0.333 0.667 0.755
O 0.361 0.000 0.060
O 0.361 0.361 0.560
O 0.639 0.000 0.560
O 0.639 0.639 0.060
O 0.667 0.333 0.255
O 0.667 0.333 0.755
O 0.693 0.000 0.903
O 0.693 0.693 0.403

---

An optimized crystal structure of YTm2O, computed with PBE-GGA.

Results
The value obtained for the formation energy without anion corrections is -0.819 eV/atom. The energy relative to the lowest polymorph listed for this composition is 0.547 eV/atom. The calculation puts the density at 8.5 g/cm³. The density of states at the Fermi level comes out at 1.253 states/eV/atom.

a = 3.170 Å, b = 3.170 Å, c = 8.569 Å
α = 90.00°, β = 90.00°, γ = 90.00°
Atoms (fractional coordinates):
Y 0.000 0.000 0.000
Tm 0.500 0.500 0.322
Tm 0.500 0.500 0.678
O 0.000 0.000 0.500

---

An optimized crystal structure of YTm2O, computed with PBE-GGA.

Results
The value obtained for the formation energy without anion corrections is -1.366 eV/atom. The energy relative to the lowest polymorph listed for this composition is 0.000 eV/atom. The calculation puts the density at 8.2 g/cm³. The density of states at the Fermi level comes out at 1.175 states/eV/atom.

a = 8.803 Å, b = 8.803 Å, c = 8.803 Å
α = 22.77°, β = 22.77°, γ = 22.77°
Atoms (fractional coordinates):
Y 0.000 0.000 0.000
Tm 0.219 0.219 0.219
Tm 0.781 0.781 0.781
O 0.500 0.500 0.500

---

An optimized crystal structure of Y3TmO, computed with PBE-GGA.

Results
The value obtained for the formation energy without anion corrections is -1.083 eV/atom. The calculation puts the density at 6.2 g/cm³. The density of states at the Fermi level comes out at 1.102 states/eV/atom.

a = 4.945 Å, b = 4.945 Å, c = 4.945 Å
α = 90.00°, β = 90.00°, γ = 90.00°
Atoms (fractional coordinates):
Y 0.000 0.000 0.500
Y 0.000 0.500 0.000
Y 0.500 0.000 0.000
Tm 0.500 0.500 0.500
O 0.000 0.000 0.000

---

An optimized crystal structure of YTm3O6, computed with PBE-GGA.

Results
The value obtained for the formation energy without anion corrections is -3.600 eV/atom. The calculation puts the density at 7.8 g/cm³. The density of states at the Fermi level comes out at 0.000 states/eV/atom.

a = 6.646 Å, b = 6.646 Å, c = 6.646 Å
α = 91.38°, β = 91.38°, γ = 91.38°
Atoms (fractional coordinates):
Y 0.000 0.000 0.000
Y 0.500 0.500 0.500
Tm 0.055 0.751 0.564
Tm 0.249 0.436 0.945
Tm 0.436 0.945 0.249
Tm 0.564 0.055 0.751
Tm 0.751 0.564 0.055
Tm 0.945 0.249 0.436
O 0.028 0.679 0.896
O 0.104 0.972 0.321
O 0.181 0.427 0.598
O 0.321 0.104 0.972
O 0.402 0.819 0.573
O 0.427 0.598 0.181
O 0.573 0.402 0.819
O 0.598 0.181 0.427
O 0.679 0.896 0.028
O 0.819 0.573 0.402
O 0.896 0.028 0.679
O 0.972 0.321 0.104

---

An optimized crystal structure of YTm3O, computed with PBE-GGA.

Results
The value obtained for the formation energy without anion corrections is -1.092 eV/atom. The calculation puts the density at 8.8 g/cm³. The density of states at the Fermi level comes out at 0.918 states/eV/atom.

a = 4.878 Å, b = 4.878 Å, c = 4.878 Å
α = 90.00°, β = 90.00°, γ = 90.00°
Atoms (fractional coordinates):
Y 0.000 0.000 0.000
Tm 0.000 0.500 0.500
Tm 0.500 0.000 0.500
Tm 0.500 0.500 0.000
O 0.500 0.500 0.500